(1)
# KBa4Mo3O12 PBE with a Hubbard U optimized geometry
# N(E_F)   0.00 states/eV per cell
# Total energy   -6.6740 eV/atom
# Magnetic moment   3.00 μB/cell
# Calculated volume   307.8 Å³/f.u.
data_KBa4Mo3O12
_cell_length_a 7.367
_cell_length_b 7.367
_cell_length_c 7.367
_cell_angle_alpha 109.47
_cell_angle_beta 109.47
_cell_angle_gamma 109.47
_space_group_name_H-M_alt 'P 1'
_space_group_IT_number 1
_space_group_name_Hall 'P 1'
loop_
_atom_site_label
_atom_site_type_symbol
_atom_site_fract_x
_atom_site_fract_y
_atom_site_fract_z
Ba1 Ba 0.000 0.000 0.500
Ba2 Ba 0.500 0.500 0.500
Ba3 Ba 0.000 0.500 0.000
Ba4 Ba 0.500 0.000 0.000
K1 K 0.000 0.000 0.000
O1 O 0.250 0.750 0.500
O2 O 0.750 0.500 0.250
O3 O 0.500 0.250 0.750
O4 O 0.719 0.719 0.000
O5 O 0.000 0.719 0.719
O6 O 0.281 0.000 0.281
O7 O 0.281 0.281 0.000
O8 O 0.750 0.250 0.500
O9 O 0.000 0.281 0.281
O10 O 0.250 0.500 0.750
O11 O 0.719 0.000 0.719
O12 O 0.500 0.750 0.250
Mo1 Mo 0.500 0.000 0.500
Mo2 Mo 0.000 0.500 0.500
Mo3 Mo 0.500 0.500 0.000



(2)
# K2BaMoO PBE with a Hubbard U optimized geometry
# N(E_F)   4.65 states/eV per cell
# Total energy   -3.2462 eV/atom
# Magnetic moment   2.07 μB/cell
# Calculated volume   194.4 Å³/f.u.
data_K2BaMoO
_cell_length_a 6.917
_cell_length_b 4.063
_cell_length_c 6.917
_cell_angle_alpha 90.00
_cell_angle_beta 90.00
_cell_angle_gamma 90.00
_space_group_name_H-M_alt 'P 1'
_space_group_IT_number 1
_space_group_name_Hall 'P 1'
loop_
_atom_site_label
_atom_site_type_symbol
_atom_site_fract_x
_atom_site_fract_y
_atom_site_fract_z
K1 K 0.500 0.000 0.000
K2 K 0.000 0.000 0.500
Ba1 Ba 0.500 0.500 0.500
O1 O 0.000 0.000 0.000
Mo1 Mo 0.000 0.500 0.000



(3)
# K2Ba2MoO6 PBE with a Hubbard U optimized geometry
# N(E_F)   0.00 states/eV per cell
# Total energy   -5.9246 eV/atom
# Magnetic moment   0.00 μB/cell
# Calculated volume   227.8 Å³/f.u.
data_K2Ba2MoO6
_cell_length_a 6.366
_cell_length_b 6.366
_cell_length_c 6.571
_cell_angle_alpha 97.01
_cell_angle_beta 97.01
_cell_angle_gamma 118.27
_space_group_name_H-M_alt 'P 1'
_space_group_IT_number 1
_space_group_name_Hall 'P 1'
loop_
_atom_site_label
_atom_site_type_symbol
_atom_site_fract_x
_atom_site_fract_y
_atom_site_fract_z
O1 O 0.801 0.801 0.685
O2 O 0.300 0.039 0.671
O3 O 0.700 0.961 0.329
O4 O 0.961 0.700 0.329
O5 O 0.199 0.199 0.315
O6 O 0.039 0.300 0.671
K1 K 0.854 0.146 0.000
K2 K 0.146 0.854 0.000
Ba1 Ba 0.662 0.338 0.500
Ba2 Ba 0.338 0.662 0.500
Mo1 Mo 0.000 0.000 0.500



The lowest calculated volume belongs to which entry?
K2BaMoO



Please write out number 1 again, unchanged.
# KBa4Mo3O12 PBE with a Hubbard U optimized geometry
# N(E_F)   0.00 states/eV per cell
# Total energy   -6.6740 eV/atom
# Magnetic moment   3.00 μB/cell
# Calculated volume   307.8 Å³/f.u.
data_KBa4Mo3O12
_cell_length_a 7.367
_cell_length_b 7.367
_cell_length_c 7.367
_cell_angle_alpha 109.47
_cell_angle_beta 109.47
_cell_angle_gamma 109.47
_space_group_name_H-M_alt 'P 1'
_space_group_IT_number 1
_space_group_name_Hall 'P 1'
loop_
_atom_site_label
_atom_site_type_symbol
_atom_site_fract_x
_atom_site_fract_y
_atom_site_fract_z
Ba1 Ba 0.000 0.000 0.500
Ba2 Ba 0.500 0.500 0.500
Ba3 Ba 0.000 0.500 0.000
Ba4 Ba 0.500 0.000 0.000
K1 K 0.000 0.000 0.000
O1 O 0.250 0.750 0.500
O2 O 0.750 0.500 0.250
O3 O 0.500 0.250 0.750
O4 O 0.719 0.719 0.000
O5 O 0.000 0.719 0.719
O6 O 0.281 0.000 0.281
O7 O 0.281 0.281 0.000
O8 O 0.750 0.250 0.500
O9 O 0.000 0.281 0.281
O10 O 0.250 0.500 0.750
O11 O 0.719 0.000 0.719
O12 O 0.500 0.750 0.250
Mo1 Mo 0.500 0.000 0.500
Mo2 Mo 0.000 0.500 0.500
Mo3 Mo 0.500 0.500 0.000



Which of these has the highest calculated volume?
KBa4Mo3O12



Which value of N(E_F) does entry 2 give?
4.65 states/eV per cell